No. 1
Mo2PdSe6 | PBE | optimized geometry

Unit cell a=13.1380 b=3.2841 c=10.4903 alpha=90.00 beta=118.90 gamma=90.00
Space group C2/m (No. 12)
Unique sites:
Mo 0.1707 0.0000 0.2864 [4 per cell]
Pd 0.0000 0.5000 0.0000 [2 per cell]
Se 0.0078 0.5000 0.2418 [4 per cell]
Se 0.1631 0.0000 0.5369 [4 per cell]
Se 0.2169 0.5000 0.1341 [4 per cell]

Results
E_tot	-5.71	eV per atom
total moment	0.003	μB/f.u.

---

No. 2
ScZnCoBi | PBE | optimized geometry

Unit cell a=6.6189 b=6.6189 c=6.6189 alpha=90.00 beta=90.00 gamma=90.00
Space group F-43m (No. 216)
Unique sites:
Sc 0.0000 0.0000 0.0000 [4 per cell]
Zn 0.2500 0.2500 0.2500 [4 per cell]
Co 0.0000 0.0000 0.5000 [4 per cell]
Bi 0.2500 0.2500 0.7500 [4 per cell]

Results
E_tot	-4.67	eV per atom
total moment	0.962	μB/f.u.

---

No. 3
SrNbSi | PBE | optimized geometry

Unit cell a=6.7853 b=6.7853 c=6.7853 alpha=90.00 beta=90.00 gamma=90.00
Space group F-43m (No. 216)
Unique sites:
Sr 0.0000 0.0000 0.0000 [4 per cell]
Nb 0.0000 0.0000 0.5000 [4 per cell]
Si 0.2500 0.2500 0.7500 [4 per cell]

Results
E_tot	-5.27	eV per atom
total moment	2.291	μB/f.u.

---

No. 4
LiMgZnAu | PBE | optimized geometry

Unit cell a=4.5111 b=4.5111 c=6.3378 alpha=90.00 beta=90.00 gamma=90.00
Space group I-4m2 (No. 119)
Unique sites:
Li 0.0000 0.0000 0.0000 [2 per cell]
Mg 0.0000 0.5000 0.7500 [2 per cell]
Zn 0.0000 0.5000 0.2500 [2 per cell]
Au 0.0000 0.0000 0.5000 [2 per cell]

Results
E_tot	-2.44	eV per atom

---

No. 5
PmRePb | PBE | optimized geometry

Unit cell a=6.8273 b=6.8273 c=6.8273 alpha=90.00 beta=90.00 gamma=90.00
Space group F-43m (No. 216)
Unique sites:
Pm 0.0000 0.0000 0.0000 [4 per cell]
Re 0.0000 0.0000 0.5000 [4 per cell]
Pb 0.2500 0.2500 0.2500 [4 per cell]

Results
E_tot	-6.06	eV per atom
total moment	0.164	μB/f.u.

---

No. 6
Gd3Sn4Pb3 | PBE | optimized geometry

Unit cell a=4.6389 b=25.7518 c=4.6310 alpha=90.00 beta=90.00 gamma=90.00
Space group Cmmm (No. 65)
Unique sites:
Gd 0.0000 0.0000 0.0000 [2 per cell]
Gd 0.0000 0.1893 0.0000 [4 per cell]
Sn 0.0000 0.0987 0.5000 [4 per cell]
Sn 0.0000 0.2907 0.5000 [4 per cell]
Pb 0.0000 0.4021 0.0000 [4 per cell]
Pb 0.0000 0.5000 0.5000 [2 per cell]

Results
E_tot	-4.58	eV per atom
total moment	0.005	μB/f.u.

---

No. 7
BaTmIr | PBE | optimized geometry

Unit cell a=7.1098 b=7.1098 c=7.1098 alpha=90.00 beta=90.00 gamma=90.00
Space group F-43m (No. 216)
Unique sites:
Ba 0.0000 0.0000 0.0000 [4 per cell]
Tm 0.0000 0.0000 0.5000 [4 per cell]
Ir 0.2500 0.2500 0.7500 [4 per cell]

Results
E_tot	-5.26	eV per atom
total moment	0.001	μB/f.u.

---

No. 8
LiHoCdTe3 | PBE | optimized geometry

Unit cell a=13.7932 b=4.2978 c=12.6606 alpha=90.00 beta=90.00 gamma=90.00
Space group Pnma (No. 62)
Unique sites:
Li 0.1132 0.2500 0.0174 [4 per cell]
Ho 0.0571 0.2500 0.6725 [4 per cell]
Cd 0.2338 0.2500 0.2849 [4 per cell]
Te 0.0669 0.7500 0.8546 [4 per cell]
Te 0.0761 0.2500 0.4205 [4 per cell]
Te 0.2259 0.7500 0.1348 [4 per cell]

Results
E_tot	-3.70	eV per atom
total moment	0.001	μB/f.u.

---

No. 9
LuTlFeS3 | PBE | optimized geometry

Unit cell a=10.9741 b=4.0430 c=11.8052 alpha=90.00 beta=90.00 gamma=90.00
Space group Pnma (No. 62)
Unique sites:
Lu 0.0175 0.2500 0.1663 [4 per cell]
Tl 0.1623 0.2500 0.5087 [4 per cell]
Fe 0.2476 0.2500 0.7990 [4 per cell]
S 0.0461 0.7500 0.3141 [4 per cell]
S 0.1052 0.2500 0.9446 [4 per cell]
S 0.2160 0.7500 0.7052 [4 per cell]

Results
E_tot	-5.57	eV per atom
total moment	3.992	μB/f.u.

---

No. 10
BaMgCoSb | PBE | optimized geometry

Unit cell a=7.3272 b=7.3272 c=7.3272 alpha=90.00 beta=90.00 gamma=90.00
Space group F-43m (No. 216)
Unique sites:
Ba 0.0000 0.0000 0.0000 [4 per cell]
Mg 0.2500 0.2500 0.7500 [4 per cell]
Co 0.0000 0.0000 0.5000 [4 per cell]
Sb 0.2500 0.2500 0.2500 [4 per cell]

Results
E_tot	-3.41	eV per atom
total moment	1.157	μB/f.u.

---

No. 11
TbTlO3 | PBE | optimized geometry

Unit cell a=5.8293 b=5.8293 c=14.9810 alpha=90.00 beta=90.00 gamma=120.00
Space group R-3 (No. 148, hexagonal axes)
Unique sites:
Tb 0.0000 0.0000 0.1406 [6 per cell]
Tl 0.0000 0.0000 0.3611 [6 per cell]
O 0.0010 0.2941 0.2485 [18 per cell]

Results
E_tot	-6.43	eV per atom
total moment	0.000	μB/f.u.

---

No. 12
KGd8 | PBE | optimized geometry

Unit cell a=9.5217 b=11.7718 c=23.0313 alpha=90.00 beta=90.00 gamma=90.00
Space group Fddd (No. 70, origin choice 2)
Unique sites:
K 0.1250 0.1250 0.1250 [8 per cell]
Gd 0.0018 0.0094 0.4224 [32 per cell]
Gd 0.0703 0.2617 0.9831 [32 per cell]

Results
E_tot	-3.89	eV per atom
total moment	0.170	μB/f.u.

---

Repeat the fourth record exactly.
LiMgZnAu | PBE | optimized geometry

Unit cell a=4.5111 b=4.5111 c=6.3378 alpha=90.00 beta=90.00 gamma=90.00
Space group I-4m2 (No. 119)
Unique sites:
Li 0.0000 0.0000 0.0000 [2 per cell]
Mg 0.0000 0.5000 0.7500 [2 per cell]
Zn 0.0000 0.5000 0.2500 [2 per cell]
Au 0.0000 0.0000 0.5000 [2 per cell]

Results
E_tot	-2.44	eV per atom

---

Question: Number 1 is which compound?
Answer: Mo2PdSe6